[1]
Entry from the Alexandria database: an optimized crystal structure of NpBe2CuH8 (PBE-GGA).

Unit cell a=4.4563 b=4.4563 c=6.2930 alpha=90.00 beta=90.00 gamma=120.00
Space group P-3m1 (No. 164)
Inequivalent atoms, fractional coordinates:
1 Np 0.0000 0.0000 0.0000 [1 per cell]
2 Be 0.3333 0.6667 0.2326 [2 per cell]
3 Cu 0.0000 0.0000 0.5000 [1 per cell]
4 H 0.1570 0.3140 0.2990 [6 per cell]
5 H 0.3333 0.6667 0.9942 [2 per cell]

Output
* size of the total moment: 4.00 μB per formula unit
* final energy: -4.309 eV per atom
* ρ: 5.0 g cm⁻³


[2]
Entry from the Alexandria database: an optimized crystal structure of LiMnNbRh (PBE-GGA).

Unit cell a=6.127 b=6.127 c=6.127 alpha=90.00 beta=90.00 gamma=90.00
Space group F-43m (No. 216)
Inequivalent atoms, fractional coordinates:
1 Li 0.000 0.000 0.000 [4 per cell]
2 Mn 0.250 0.250 0.250 [4 per cell]
3 Nb 0.000 0.000 0.500 [4 per cell]
4 Rh 0.250 0.250 0.750 [4 per cell]

Output
* size of the total moment: 2.28 μB per formula unit
* ρ: 7.4 g cm⁻³
* formation enthalpy at 0 K: -4.98 kJ/mol of atoms


[3]
Entry from the Alexandria database: an optimized crystal structure of ZrBe17Os (PBE-GGA).

Unit cell a=7.3811 b=7.3811 c=10.7103 alpha=90.00 beta=90.00 gamma=120.00
Space group R3m (No. 160, hexagonal axes)
Inequivalent atoms, fractional coordinates:
1 Zr 0.0000 0.0000 0.0000 [3 per cell]
2 Be 0.0000 0.0000 0.5561 [3 per cell]
3 Be 0.0000 0.0000 0.7532 [3 per cell]
4 Be 0.0399 0.3656 0.3256 [18 per cell]
5 Be 0.1710 0.3419 0.4945 [9 per cell]
6 Be 0.1716 0.3433 0.1426 [9 per cell]
7 Be 0.1737 0.3475 0.8383 [9 per cell]
8 Os 0.0000 0.0000 0.3262 [3 per cell]

Output
* size of the total moment: 0.00 μB per formula unit
* ρ: 4.3 g cm⁻³
* formation enthalpy at 0 K: -16.36 kJ/mol of atoms


- What is the ρ in the first record?
  5.0 g cm⁻³


- Look up the size of the total moment of the first one.
  4.00 μB per formula unit


- The highest size of the total moment belongs to which entry?
  NpBe2CuH8